(1)
The following is a GGA-PBEsol calculation of a geometry-optimized PtPb2 structure, from the Alexandria database.

## Properties
ΔE_f, meV per atom: -93
Calculated volume, Å³/f.u.: 76.01

Cell and atoms, written as CIF:
```
data_PtPb2
_symmetry_space_group_name_H-M 'P 1'
_symmetry_Int_Tables_number 1
_cell_length_a 3.8173
_cell_length_b 3.8173
_cell_length_c 6.0232
_cell_angle_alpha 90.00
_cell_angle_beta 90.00
_cell_angle_gamma 120.00
loop_
_symmetry_equiv_pos_as_xyz
'x,y,z'
loop_
_atom_site_label
_atom_site_type_symbol
_atom_site_fract_x
_atom_site_fract_y
_atom_site_fract_z
Pb1 Pb 0.6667 0.3333 0.2790
Pb2 Pb 0.3333 0.6667 0.7210
Pt1 Pt 0.0000 0.0000 0.0000
```



(2)
The following is a GGA-PBEsol calculation of a geometry-optimized Sc3Be4 structure, from the Alexandria database.

## Properties
ΔE_f, meV per atom: 632
Calculated volume, Å³/f.u.: 120.25

Cell and atoms, written as CIF:
```
data_Sc3Be4
_symmetry_space_group_name_H-M 'P 1'
_symmetry_Int_Tables_number 1
_cell_length_a 4.2099
_cell_length_b 5.7431
_cell_length_c 5.7431
_cell_angle_alpha 120.00
_cell_angle_beta 90.00
_cell_angle_gamma 90.00
loop_
_symmetry_equiv_pos_as_xyz
'x,y,z'
loop_
_atom_site_label
_atom_site_type_symbol
_atom_site_fract_x
_atom_site_fract_y
_atom_site_fract_z
Sc1 Sc 0.0000 0.5000 0.5000
Sc2 Sc 0.0000 0.5000 0.0000
Sc3 Sc 0.0000 0.0000 0.5000
Be1 Be 0.5000 0.6667 0.3333
Be2 Be 0.7615 0.0000 0.0000
Be3 Be 0.2385 0.0000 0.0000
Be4 Be 0.5000 0.3333 0.6667
```



(3)
The following is a GGA-PBEsol calculation of a geometry-optimized TaSiAsBr2 structure, from the Alexandria database.

## Properties
Excess energy over the best structure of this formula in the dataset, meV/atom: 0
Formation energy (no corrections), eV/atom: 0.5427
Calculated volume, Å³/f.u.: 126.13

Cell and atoms, written as CIF:
```
data_TaSiAsBr2
_symmetry_space_group_name_H-M 'P 1'
_symmetry_Int_Tables_number 1
_cell_length_a 4.9664
_cell_length_b 4.9664
_cell_length_c 5.1136
_cell_angle_alpha 90.00
_cell_angle_beta 90.00
_cell_angle_gamma 90.00
loop_
_symmetry_equiv_pos_as_xyz
'x,y,z'
loop_
_atom_site_label
_atom_site_type_symbol
_atom_site_fract_x
_atom_site_fract_y
_atom_site_fract_z
Br1 Br 0.5000 0.0000 0.0000
Br2 Br 0.0000 0.5000 0.0000
As1 As 0.0000 0.0000 0.5000
Si1 Si 0.5000 0.5000 0.5000
Ta1 Ta 0.0000 0.0000 0.0000
```



(4)
The following is a GGA-PBEsol calculation of a geometry-optimized Re2TcAg structure, from the Alexandria database.

## Properties
Excess energy over the best structure of this formula in the dataset, meV/atom: 0
ΔE_f, meV per atom: 407
Calculated volume, Å³/f.u.: 59.37

Cell and atoms, written as CIF:
```
data_Re2TcAg
_symmetry_space_group_name_H-M 'P 1'
_symmetry_Int_Tables_number 1
_cell_length_a 2.7533
_cell_length_b 4.7631
_cell_length_c 4.8120
_cell_angle_alpha 100.46
_cell_angle_beta 106.62
_cell_angle_gamma 90.00
loop_
_symmetry_equiv_pos_as_xyz
'x,y,z'
loop_
_atom_site_label
_atom_site_type_symbol
_atom_site_fract_x
_atom_site_fract_y
_atom_site_fract_z
Re1 Re 0.7517 0.2504 0.5035
Re2 Re 0.0086 0.0219 0.0172
Tc1 Tc 0.4900 0.4792 0.9799
Ag1 Ag 0.2497 0.7485 0.4994
```



(5)
The following is a GGA-PBEsol calculation of a geometry-optimized Li4Co3TeO8 structure, from the Alexandria database.

## Properties
Formation energy (no corrections), eV/atom: -1.3039
Calculated volume, Å³/f.u.: 147.76

Cell and atoms, written as CIF:
```
data_Li4Co3TeO8
_symmetry_space_group_name_H-M 'P 1'
_symmetry_Int_Tables_number 1
_cell_length_a 5.9072
_cell_length_b 5.9072
_cell_length_c 5.9072
_cell_angle_alpha 60.61
_cell_angle_beta 60.61
_cell_angle_gamma 60.61
loop_
_symmetry_equiv_pos_as_xyz
'x,y,z'
loop_
_atom_site_label
_atom_site_type_symbol
_atom_site_fract_x
_atom_site_fract_y
_atom_site_fract_z
Co1 Co 0.5000 0.0000 0.5000
Co2 Co 0.0000 0.5000 0.5000
Co3 Co 0.5000 0.5000 0.0000
Li1 Li 0.0000 0.5000 0.0000
Li2 Li 0.0000 0.0000 0.5000
Li3 Li 0.5000 0.5000 0.5000
Li4 Li 0.5000 0.0000 0.0000
O1 O 0.7670 0.2346 0.2346
O2 O 0.2330 0.7654 0.7654
O3 O 0.2584 0.2584 0.2584
O4 O 0.7416 0.7416 0.7416
O5 O 0.7654 0.2330 0.7654
O6 O 0.2346 0.2346 0.7670
O7 O 0.7654 0.7654 0.2330
O8 O 0.2346 0.7670 0.2346
Te1 Te 0.0000 0.0000 0.0000
```



(6)
The following is a GGA-PBEsol calculation of a geometry-optimized CaFeIr2 structure, from the Alexandria database.

## Properties
Excess energy over the best structure of this formula in the dataset, meV/atom: 0
ΔE_f, meV per atom: 201
Calculated volume, Å³/f.u.: 63.26

Cell and atoms, written as CIF:
```
data_CaFeIr2
_symmetry_space_group_name_H-M 'P 1'
_symmetry_Int_Tables_number 1
_cell_length_a 2.7612
_cell_length_b 4.3290
_cell_length_c 5.4696
_cell_angle_alpha 90.00
_cell_angle_beta 104.62
_cell_angle_gamma 90.00
loop_
_symmetry_equiv_pos_as_xyz
'x,y,z'
loop_
_atom_site_label
_atom_site_type_symbol
_atom_site_fract_x
_atom_site_fract_y
_atom_site_fract_z
Ir1 Ir 0.6015 0.5000 0.2030
Ir2 Ir 0.1913 0.0000 0.3825
Ca1 Ca 0.9353 0.0000 0.8706
Fe1 Fe 0.3019 0.5000 0.6038
```



(7)
The following is a GGA-PBEsol calculation of a geometry-optimized CsRb2SbF6 structure, from the Alexandria database.

## Properties
Formation energy (no corrections), eV/atom: -2.5419
Calculated volume, Å³/f.u.: 238.53

Cell and atoms, written as CIF:
```
data_CsRb2SbF6
_symmetry_space_group_name_H-M 'P 1'
_symmetry_Int_Tables_number 1
_cell_length_a 6.9613
_cell_length_b 6.9613
_cell_length_c 6.9613
_cell_angle_alpha 60.00
_cell_angle_beta 60.00
_cell_angle_gamma 60.00
loop_
_symmetry_equiv_pos_as_xyz
'x,y,z'
loop_
_atom_site_label
_atom_site_type_symbol
_atom_site_fract_x
_atom_site_fract_y
_atom_site_fract_z
Cs1 Cs 0.5000 0.5000 0.5000
F1 F 0.2211 0.7789 0.7789
F2 F 0.7789 0.7789 0.2211
F3 F 0.2211 0.7789 0.2211
F4 F 0.2211 0.2211 0.7789
F5 F 0.7789 0.2211 0.2211
F6 F 0.7789 0.2211 0.7789
Rb1 Rb 0.2500 0.2500 0.2500
Rb2 Rb 0.7500 0.7500 0.7500
Sb1 Sb 0.0000 0.0000 0.0000
```



(8)
The following is a GGA-PBEsol calculation of a geometry-optimized ZnSiPb2 structure, from the Alexandria database.

## Properties
Excess energy over the best structure of this formula in the dataset, meV/atom: 138
Formation energy (no corrections), eV/atom: 0.4355
Calculated volume, Å³/f.u.: 92.91

Cell and atoms, written as CIF:
```
data_ZnSiPb2
_symmetry_space_group_name_H-M 'P 1'
_symmetry_Int_Tables_number 1
_cell_length_a 5.0838
_cell_length_b 5.0838
_cell_length_c 5.0838
_cell_angle_alpha 60.00
_cell_angle_beta 60.00
_cell_angle_gamma 60.00
loop_
_symmetry_equiv_pos_as_xyz
'x,y,z'
loop_
_atom_site_label
_atom_site_type_symbol
_atom_site_fract_x
_atom_site_fract_y
_atom_site_fract_z
Pb1 Pb 0.2500 0.2500 0.2500
Pb2 Pb 0.0000 0.0000 0.0000
Si1 Si 0.5000 0.5000 0.5000
Zn1 Zn 0.7500 0.7500 0.7500
```



(9)
The following is a GGA-PBEsol calculation of a geometry-optimized Be2Ni structure, from the Alexandria database.

## Properties
ΔE_f, meV per atom: -262
Calculated volume, Å³/f.u.: 25.61

Cell and atoms, written as CIF:
```
data_Be2Ni
_symmetry_space_group_name_H-M 'P 1'
_symmetry_Int_Tables_number 1
_cell_length_a 2.4029
_cell_length_b 4.2559
_cell_length_c 5.5075
_cell_angle_alpha 107.80
_cell_angle_beta 90.00
_cell_angle_gamma 106.40
loop_
_symmetry_equiv_pos_as_xyz
'x,y,z'
loop_
_atom_site_label
_atom_site_type_symbol
_atom_site_fract_x
_atom_site_fract_y
_atom_site_fract_z
Be1 Be 0.9636 0.9272 0.7095
Be2 Be 0.3545 0.7090 0.9662
Be3 Be 0.0364 0.0728 0.2905
Be4 Be 0.6455 0.2910 0.0338
Ni1 Ni 0.6748 0.3496 0.6406
Ni2 Ni 0.3252 0.6504 0.3594
```



(10)
The following is a GGA-PBEsol calculation of a geometry-optimized Li4Cu2Si3O10 structure, from the Alexandria database.

## Properties
Formation energy (no corrections), eV/atom: -2.1111
Calculated volume, Å³/f.u.: 199.71

Cell and atoms, written as CIF:
```
data_Li4Cu2Si3O10
_symmetry_space_group_name_H-M 'P 1'
_symmetry_Int_Tables_number 1
_cell_length_a 5.3291
_cell_length_b 5.3291
_cell_length_c 16.1253
_cell_angle_alpha 83.93
_cell_angle_beta 83.93
_cell_angle_gamma 61.51
loop_
_symmetry_equiv_pos_as_xyz
'x,y,z'
loop_
_atom_site_label
_atom_site_type_symbol
_atom_site_fract_x
_atom_site_fract_y
_atom_site_fract_z
Li1 Li 0.5707 0.8214 0.2773
Li2 Li 0.6794 0.8343 0.9479
Li3 Li 0.1657 0.3206 0.5521
Li4 Li 0.1786 0.4293 0.2227
Li5 Li 0.8214 0.5707 0.7773
Li6 Li 0.3206 0.1657 0.0521
Li7 Li 0.4293 0.1786 0.7227
Li8 Li 0.8343 0.6794 0.4479
Si1 Si 0.5252 0.3398 0.4026
Si2 Si 0.6602 0.4748 0.0974
Si3 Si 0.1082 0.8918 0.7500
Si4 Si 0.8918 0.1082 0.2500
Si5 Si 0.4748 0.6602 0.5974
Si6 Si 0.3398 0.5252 0.9026
O1 O 0.8402 0.9331 0.7014
O2 O 0.9149 0.2200 0.0415
O3 O 0.1598 0.0669 0.2986
O4 O 0.4020 0.8110 0.6893
O5 O 0.0851 0.7800 0.9585
O6 O 0.4384 0.3692 0.6110
O7 O 0.9331 0.8402 0.2014
O8 O 0.5616 0.6308 0.3890
O9 O 0.6136 0.7880 0.0659
O10 O 0.3692 0.4384 0.1110
O11 O 0.5980 0.1890 0.3107
O12 O 0.7800 0.0851 0.4585
O13 O 0.2200 0.9149 0.5415
O14 O 0.0669 0.1598 0.7986
O15 O 0.2120 0.3864 0.4341
O16 O 0.7880 0.6136 0.5659
O17 O 0.6308 0.5616 0.8890
O18 O 0.8110 0.4020 0.1893
O19 O 0.1890 0.5980 0.8107
O20 O 0.3864 0.2120 0.9341
Cu1 Cu 0.0252 0.8067 0.0802
Cu2 Cu 0.9748 0.1933 0.9198
Cu3 Cu 0.8067 0.0252 0.5802
Cu4 Cu 0.1933 0.9748 0.4198
```



(11)
The following is a GGA-PBEsol calculation of a geometry-optimized K2CaP2O7 structure, from the Alexandria database.

## Properties
Formation energy (no corrections), eV/atom: -2.5510
Calculated volume, Å³/f.u.: 174.98

Cell and atoms, written as CIF:
```
data_K2CaP2O7
_symmetry_space_group_name_H-M 'P 1'
_symmetry_Int_Tables_number 1
_cell_length_a 5.6752
_cell_length_b 9.7861
_cell_length_c 13.0061
_cell_angle_alpha 104.31
_cell_angle_beta 90.00
_cell_angle_gamma 90.00
loop_
_symmetry_equiv_pos_as_xyz
'x,y,z'
loop_
_atom_site_label
_atom_site_type_symbol
_atom_site_fract_x
_atom_site_fract_y
_atom_site_fract_z
K1 K 0.7673 0.8546 0.3208
K2 K 0.7371 0.6250 0.6343
K3 K 0.2673 0.6454 0.1792
K4 K 0.7629 0.1250 0.1343
K5 K 0.2327 0.1454 0.6792
K6 K 0.7327 0.3546 0.8208
K7 K 0.2629 0.3750 0.3657
K8 K 0.2371 0.8750 0.8657
P1 P 0.7454 0.0291 0.8577
P2 P 0.7199 0.9468 0.6251
P3 P 0.2454 0.4709 0.6423
P4 P 0.7801 0.4468 0.1251
P5 P 0.2546 0.9709 0.1423
P6 P 0.2199 0.5532 0.8749
P7 P 0.2801 0.0532 0.3749
P8 P 0.7546 0.5291 0.3577
O1 O 0.2554 0.8952 0.3649
O2 O 0.5331 0.1070 0.3930
O3 O 0.2935 0.5803 0.7585
O4 O 0.8956 0.8543 0.5508
O5 O 0.7065 0.4197 0.2415
O6 O 0.7935 0.9197 0.7415
O7 O 0.2398 0.5699 0.5683
O8 O 0.5103 0.1027 0.8515
O9 O 0.7554 0.6048 0.1351
O10 O 0.9897 0.6027 0.3515
O11 O 0.0331 0.3930 0.1070
O12 O 0.4897 0.8973 0.1485
O13 O 0.7398 0.9301 0.9317
O14 O 0.4575 0.3718 0.6239
O15 O 0.9575 0.1282 0.8761
O16 O 0.3956 0.6457 0.9492
O17 O 0.9669 0.6070 0.8930
O18 O 0.1044 0.1457 0.4492
O19 O 0.2446 0.3952 0.8649
O20 O 0.2602 0.0699 0.0683
O21 O 0.5425 0.6282 0.3761
O22 O 0.0103 0.3973 0.6485
O23 O 0.0425 0.8718 0.1239
O24 O 0.7602 0.4301 0.4317
O25 O 0.6044 0.3543 0.0508
O26 O 0.7446 0.1048 0.6351
O27 O 0.2065 0.0803 0.2585
O28 O 0.4669 0.8930 0.6070
Ca1 Ca 0.2379 0.7488 0.4801
Ca2 Ca 0.7621 0.2512 0.5199
Ca3 Ca 0.2621 0.2488 0.9801
Ca4 Ca 0.7379 0.7512 0.0199
```